(1)
A relaxed GdCdPb2 crystal. Source: Alexandria via LeMat-Bulk, functional PBE-GGA.

Lattice parameters (Å, degrees): 4.5637 4.8883 4.8883 90.00 90.00 90.00
With the nearest neighbours (Å) after each atom.
Positions (direct):
Pb: 0.0000 0.0000 0.5000  4 Gd 3.34, 4 Cd 3.34, 4 Pb 3.46
Pb: 0.0000 0.5000 0.0000  4 Gd 3.34, 4 Cd 3.34, 4 Pb 3.46
Gd: 0.5000 0.5000 0.5000  8 Pb 3.34, 4 Cd 3.46
Cd: 0.5000 0.0000 0.0000  8 Pb 3.34, 4 Gd 3.46

Offset from the most stable computed form: 0 meV/atom
Spin magnetization: 6.87 μB/f.u.
Calculated volume: 27.3 A^3/atom
Formation energy: -344 meV per atom


(2)
A relaxed Cd6Hg2Rh crystal. Source: Alexandria via LeMat-Bulk, functional PBE-GGA.

Lattice parameters (Å, degrees): 3.4166 8.1317 8.1359 119.98 90.00 90.00
With the nearest neighbours (Å) after each atom.
Positions (direct):
Cd: 0.5000 0.6439 0.0000  1 Rh 2.90, 4 Cd 3.13, 4 Hg 3.13
Cd: 0.5000 0.3558 0.3556  1 Rh 2.89, 4 Cd 3.13, 4 Hg 3.13
Cd: 0.5000 0.0001 0.6444  1 Rh 2.89, 4 Cd 3.13, 4 Hg 3.13
Cd: 0.0000 0.2730 0.0000  2 Rh 2.80, 2 Hg 2.99, 4 Cd 3.13
Cd: 0.0000 0.7273 0.7276  2 Rh 2.80, 2 Hg 2.99, 4 Cd 3.13
Cd: 0.0000 0.9997 0.2724  2 Rh 2.80, 2 Hg 2.99, 4 Cd 3.13
Hg: 0.0000 0.3331 0.6662  9 Cd 2.99-3.13
Hg: 0.0000 0.6669 0.3338  9 Cd 2.99-3.13
Rh: 0.5000 0.0002 0.0000  9 Cd 2.80-2.90

Offset from the most stable computed form: 0 meV/atom
Spin magnetization: 0.00 μB/f.u.
Calculated volume: 21.8 A^3/atom
Formation energy: -32 meV per atom


(3)
A relaxed BeAg4 crystal. Source: Alexandria via LeMat-Bulk, functional PBE-GGA.

Lattice parameters (Å, degrees): 4.9097 4.9097 4.9097 109.47 109.47 109.47
With the nearest neighbours (Å) after each atom.
Positions (direct):
Be: 0.0000 0.0000 0.0000  8 Ag 2.45
Ag: 0.5000 0.0000 0.0000  2 Be 2.45
Ag: 0.5000 0.5000 0.5000  2 Be 2.45
Ag: 0.0000 0.5000 0.0000  2 Be 2.45
Ag: 0.0000 0.0000 0.5000  2 Be 2.45

Offset from the most stable computed form: 215 meV/atom
Spin magnetization: 0.00 μB/f.u.
Calculated volume: 18.2 A^3/atom
Formation energy: 319 meV per atom


(4)
A relaxed AcPrSe crystal. Source: Alexandria via LeMat-Bulk, functional PBE-GGA.

Lattice parameters (Å, degrees): 3.8307 3.8307 7.2974 105.22 105.22 90.00
With the nearest neighbours (Å) after each atom.
Positions (direct):
Pr: 0.7007 0.7007 0.4015  4 Se 3.20
Ac: 0.9729 0.9729 0.9458  4 Se 3.36, 1 Pr 3.69
Se: 0.3264 0.3264 0.6528  4 Pr 3.20, 4 Ac 3.36

Offset from the most stable computed form: 142 meV/atom
Spin magnetization: 0.00 μB/f.u.
Calculated volume: 33.1 A^3/atom


(5)
A relaxed OsAuSe2 crystal. Source: Alexandria via LeMat-Bulk, functional PBE-GGA.

Lattice parameters (Å, degrees): 6.7388 6.7388 6.7388 154.36 143.38 45.24
With the nearest neighbours (Å) after each atom.
Positions (direct):
Au: 0.4307 0.4307 0.0000  6 Se 2.85-3.10, 2 Os 2.97, 2 Au 2.99
Os: 0.2241 0.7241 0.5000  6 Se 2.46-2.68
Se: 0.0676 0.0676 0.0000  2 Os 2.46
Se: 0.7776 0.2776 0.5000  4 Os 2.68, 2 Au 2.85, 2 Se 2.99

Offset from the most stable computed form: 348 meV/atom
Spin magnetization: 0.00 μB/f.u.
Calculated volume: 19.7 A^3/atom


(6)
A relaxed InCuO2 crystal. Source: Alexandria via LeMat-Bulk, functional PBE-GGA.

Lattice parameters (Å, degrees): 3.3540 3.3540 6.1471 74.17 74.17 60.00
With the nearest neighbours (Å) after each atom.
Positions (direct):
O: 0.8944 0.8944 0.3168  1 Cu 1.85
O: 0.1056 0.1056 0.6832  1 Cu 1.85
Cu: 0.0000 0.0000 0.0000  2 O 1.85
In: 0.5000 0.5000 0.5000  6 O 2.21

Total DFT energy (no corrections): -5.3251 eV/atom
Spin magnetization: 0.00 μB/f.u.
Calculated volume: 14.2 A^3/atom


(7)
A relaxed VTe6Pd crystal. Source: Alexandria via LeMat-Bulk, functional PBE-GGA.

Lattice parameters (Å, degrees): 6.6877 6.7079 7.3395 57.91 56.59 57.52
With the nearest neighbours (Å) after each atom.
Positions (direct):
V: 0.5000 0.5000 0.5000  6 Te 2.60-2.67
Te: 0.0462 0.4734 0.7776  1 V 2.60, 1 Pd 2.80
Te: 0.7079 0.0852 0.7952  1 V 2.67, 1 Pd 2.74, 1 Te 2.94
Te: 0.5505 0.2206 0.3117  1 V 2.66, 1 Pd 2.78, 1 Te 2.87
Te: 0.2921 0.9148 0.2048  1 V 2.67, 1 Pd 2.74, 1 Te 2.94
Te: 0.9538 0.5266 0.2224  1 V 2.60, 1 Pd 2.80
Te: 0.4495 0.7794 0.6883  1 V 2.66, 1 Pd 2.78, 1 Te 2.87
Pd: 0.0000 0.0000 0.0000  6 Te 2.74-2.80

Total DFT energy (no corrections): -4.3017 eV/atom
Spin magnetization: 0.34 μB/f.u.
Calculated volume: 27.3 A^3/atom


(8)
A relaxed InHg3N crystal. Source: Alexandria via LeMat-Bulk, functional PBE-GGA.

Lattice parameters (Å, degrees): 6.4110 7.5350 8.1954 121.07 129.80 72.76
With the nearest neighbours (Å) after each atom.
Positions (direct):
In: 0.9735 0.3337 0.5095  2 N 2.18-2.28
In: 0.3947 0.9661 0.5449  2 N 2.18-2.28
Hg: 0.1979 0.4526 0.1778  4 Hg 3.21-3.26, 1 In 3.41
Hg: 0.1702 0.8473 0.8767  4 Hg 3.21-3.26, 1 In 3.41
Hg: 0.6598 0.4048 0.6641  1 N 2.24
Hg: 0.6620 0.4036 0.1076  1 N 2.23
Hg: 0.7083 0.8950 0.3904  1 N 2.24
Hg: 0.7061 0.8963 0.9469  1 N 2.23
N: 0.4144 0.3202 0.7230  2 In 2.18-2.28, 2 Hg 2.23-2.24
N: 0.9538 0.9795 0.3314  2 In 2.18-2.28, 2 Hg 2.23-2.24

Offset from the most stable computed form: 0 meV/atom
Spin magnetization: 0.00 μB/f.u.
Calculated volume: 26.0 A^3/atom


(9)
A relaxed Zr2Ni5As3 crystal. Source: Alexandria via LeMat-Bulk, functional PBE-GGA.

Lattice parameters (Å, degrees): 3.9191 6.4160 11.5962 90.00 99.73 90.00
With the nearest neighbours (Å) after each atom.
Positions (direct):
Zr: 0.4783 0.7526 0.9566  5 As 2.66-2.84, 4 Ni 2.88-2.95
Zr: 0.1759 0.7458 0.3518  9 Ni 2.78-3.04, 4 As 2.87-2.92
Zr: 0.8241 0.2458 0.6482  9 Ni 2.78-3.04, 4 As 2.87-2.92
Zr: 0.5217 0.2526 0.0434  5 As 2.66-2.84, 4 Ni 2.88-2.95
Ni: 0.4012 0.3840 0.8025  3 As 2.36-2.45, 1 Ni 2.62
Ni: 0.2948 0.5349 0.5895  3 As 2.42, 2 Ni 2.58-2.62
Ni: 0.7052 0.0349 0.4105  3 As 2.42, 2 Ni 2.58-2.62
Ni: 0.1243 0.2219 0.2485  4 As 2.41-2.69
Ni: 0.2863 0.9366 0.5726  4 As 2.33-2.36, 1 Ni 2.58
Ni: 0.9424 0.0811 0.8848  4 As 2.39-2.49
Ni: 0.7137 0.4366 0.4274  4 As 2.33-2.36, 1 Ni 2.58
Ni: 0.8757 0.7219 0.7515  4 As 2.41-2.69
Ni: 0.0576 0.5811 0.1152  4 As 2.39-2.49
Ni: 0.5988 0.8840 0.1975  3 As 2.36-2.45, 1 Ni 2.62
As: 0.7704 0.7383 0.5408  7 Ni 2.33-2.42
As: 0.6136 0.5062 0.2272  4 Ni 2.33-2.45
As: 0.0460 0.9635 0.0921  5 Ni 2.36-2.49
As: 0.2296 0.2383 0.4592  7 Ni 2.33-2.42
As: 0.9540 0.4635 0.9079  5 Ni 2.36-2.49
As: 0.3864 0.0062 0.7728  4 Ni 2.33-2.45

Spin magnetization: 0.00 μB/f.u.
Calculated volume: 14.4 A^3/atom
Formation energy: -602 meV per atom


(10)
A relaxed Re2NiPb crystal. Source: Alexandria via LeMat-Bulk, functional PBE-GGA.

Lattice parameters (Å, degrees): 3.0799 3.0799 7.1137 90.00 90.00 90.00
With the nearest neighbours (Å) after each atom.
Positions (direct):
Ni: 0.0000 0.0000 0.4664  5 Re 2.66-2.93, 4 Pb 2.87
Pb: 0.5000 0.5000 0.7281  4 Ni 2.87, 4 Pb 3.08, 4 Re 3.18
Re: 0.0000 0.0000 0.0538  4 Re 2.59
Re: 0.5000 0.5000 0.2518  4 Re 2.59, 4 Ni 2.66

Spin magnetization: 0.00 μB/f.u.
Calculated volume: 16.9 A^3/atom
Formation energy: 450 meV per atom


(11)
A relaxed CuAg4Ir crystal. Source: Alexandria via LeMat-Bulk, functional PBE-GGA.

Lattice parameters (Å, degrees): 5.3099 5.3099 5.3099 60.00 60.00 60.00
With the nearest neighbours (Å) after each atom.
Positions (direct):
Cu: 0.7500 0.7500 0.7500  12 Ag 3.11, 4 Ir 3.25
Ag: 0.8754 0.3749 0.3749  6 Ag 2.65-2.66
Ag: 0.3749 0.3749 0.8754  6 Ag 2.65-2.66
Ag: 0.3749 0.8754 0.3749  6 Ag 2.65-2.66
Ag: 0.3749 0.3749 0.3749  6 Ag 2.65-2.66
Ir: 0.0000 0.0000 0.0000  12 Ag 3.11, 4 Cu 3.25

Spin magnetization: 0.00 μB/f.u.
Calculated volume: 17.6 A^3/atom
Formation energy: 638 meV per atom


(12)
A relaxed LaTlOs2 crystal. Source: Alexandria via LeMat-Bulk, functional PBE-GGA.

Lattice parameters (Å, degrees): 4.8989 4.8989 4.8989 60.00 60.00 60.00
With the nearest neighbours (Å) after each atom.
Positions (direct):
La: 0.5000 0.5000 0.5000  4 Os 3.00, 4 Tl 3.00
Os: 0.0000 0.0000 0.0000  4 Tl 3.00, 4 Os 3.00
Os: 0.7500 0.7500 0.7500  4 La 3.00, 4 Os 3.00
Tl: 0.2500 0.2500 0.2500  4 La 3.00, 4 Os 3.00

Offset from the most stable computed form: 583 meV/atom
Spin magnetization: 1.83 μB/f.u.
Calculated volume: 20.8 A^3/atom
Formation energy: 853 meV per atom


- Among the records above, which one has the lowest calculated volume?
  InCuO2


- What is the spin magnetization in the sixth record?
  0.00 μB/f.u.


- Look up the calculated volume of the tenth one.
  16.9 A^3/atom


- spin magnetization of number 3 (BeAg4)?
  0.00 μB/f.u.